(1)
Material: LiTlAg2H
Method: DFT, PBE-GGA
State: relaxed

abc: 4.2854 4.2854 4.2948
angles: 90.00 90.00 90.00
With the nearest neighbours (Å) after each atom.
Atoms (fractional coordinates):
1 Li 0.0000 0.0000 0.0000  2 H 2.15
2 Tl 0.5000 0.5000 0.0000  4 Li 3.03, 8 Ag 3.03
3 Ag 0.0000 0.5000 0.5000  2 H 2.14
4 Ag 0.5000 0.0000 0.5000  2 H 2.14
5 H 0.0000 0.0000 0.5000  4 Ag 2.14, 2 Li 2.15

Properties
Raw total energy = -13.132 eV per cell
Density of states at the Fermi level = 1.46 states/eV per cell



(2)
Material: BaReRh
Method: DFT, PBE-GGA
State: relaxed

abc: 4.5535 4.5535 8.0723
angles: 91.24 91.24 80.02
With the nearest neighbours (Å) after each atom.
Atoms (fractional coordinates):
1 Ba 0.2430 0.2430 0.1721  3 Rh 3.32-3.61, 4 Re 3.40-3.60
2 Ba 0.7570 0.7570 0.8279  3 Rh 3.32-3.61, 4 Re 3.40-3.60
3 Re 0.2854 0.7146 0.5000  4 Rh 2.48-2.60, 1 Re 2.51
4 Re 0.7146 0.2854 0.5000  4 Rh 2.48-2.60, 1 Re 2.51
5 Rh 0.2169 0.2169 0.6349  4 Re 2.48-2.60
6 Rh 0.7831 0.7831 0.3651  4 Re 2.48-2.60

Properties
Raw total energy = -42.231 eV per cell
Density of states at the Fermi level = 3.80 states/eV per cell
Formation energy = 202 meV per atom
ΔE to the lowest computed polymorph = 79.7 meV per atom



(3)
Material: Os2RuBr
Method: DFT, PBE-GGA
State: relaxed

abc: 5.2601 5.2601 4.3969
angles: 93.06 93.06 31.24
With the nearest neighbours (Å) after each atom.
Atoms (fractional coordinates):
1 Os 0.2182 0.2182 0.2302  1 Br 2.57, 6 Os 2.58-2.83, 2 Ru 2.77
2 Os 0.7818 0.7818 0.7698  1 Br 2.57, 6 Os 2.58-2.83, 2 Ru 2.77
3 Ru 0.5000 0.5000 0.0000  4 Br 2.62, 4 Os 2.77, 2 Ru 2.83
4 Br 0.0000 0.0000 0.5000  2 Os 2.57, 4 Ru 2.62, 2 Br 2.83

Properties
Raw total energy = -29.710 eV per cell
Density of states at the Fermi level = 3.53 states/eV per cell
Energy relative to the elements, uncorrected = 89.2 kJ per mole of atoms
ΔE to the lowest computed polymorph = 200.5 meV per atom



(4)
Material: ZrAgHgBr6
Method: DFT, PBE-GGA
State: relaxed

abc: 7.1164 7.1164 7.6151
angles: 100.23 100.23 118.00
With the nearest neighbours (Å) after each atom.
Atoms (fractional coordinates):
1 Zr 0.0000 0.0000 0.0000  6 Br 2.62-2.72
2 Ag 0.6522 0.3478 0.0000  6 Br 2.79-3.07
3 Hg 0.4536 0.5464 0.5000  4 Br 2.91-3.19
4 Br 0.0346 0.3723 0.2112  1 Zr 2.72, 1 Ag 2.82, 1 Hg 2.91
5 Br 0.2264 0.2288 0.7937  1 Zr 2.66, 1 Ag 2.79
6 Br 0.3723 0.0978 0.2353  1 Zr 2.62
7 Br 0.6277 0.9654 0.7888  1 Zr 2.72, 1 Ag 2.82, 1 Hg 2.91
8 Br 0.7712 0.7736 0.2063  1 Zr 2.66, 1 Ag 2.79
9 Br 0.9022 0.6277 0.7647  1 Zr 2.62

Properties
Raw total energy = -29.416 eV per cell
Density of states at the Fermi level = 1.20 states/eV per cell
Energy relative to the elements, uncorrected = -82.3 kJ per mole of atoms



(5)
Material: Sc2FeB2Ir5
Method: DFT, PBE-GGA
State: relaxed

abc: 9.3870 9.3870 3.0707
angles: 90.00 90.00 90.00
With the nearest neighbours (Å) after each atom.
Atoms (fractional coordinates):
1 Sc 0.1763 0.3237 0.0000  3 B 2.65-2.86, 10 Ir 2.80-2.95
2 Sc 0.3237 0.8237 0.0000  3 B 2.65-2.86, 10 Ir 2.80-2.95
3 Sc 0.6763 0.1763 0.0000  3 B 2.65-2.86, 10 Ir 2.80-2.95
4 Sc 0.8237 0.6763 0.0000  3 B 2.65-2.86, 10 Ir 2.80-2.95
5 Fe 0.0000 0.0000 0.0000  8 Ir 2.62
6 Fe 0.5000 0.5000 0.0000  8 Ir 2.62
7 B 0.1244 0.6244 0.0000  6 Ir 2.21-2.26
8 B 0.3756 0.1244 0.0000  6 Ir 2.21-2.26
9 B 0.6244 0.8756 0.0000  6 Ir 2.21-2.26
10 B 0.8756 0.3756 0.0000  6 Ir 2.21-2.26
11 Ir 0.0000 0.5000 0.5000  4 B 2.26
12 Ir 0.0695 0.7844 0.5000  2 B 2.21
13 Ir 0.2156 0.0695 0.5000  2 B 2.21
14 Ir 0.2844 0.5695 0.5000  2 B 2.21
15 Ir 0.4305 0.2844 0.5000  2 B 2.21
16 Ir 0.5000 0.0000 0.5000  4 B 2.26
17 Ir 0.5695 0.7156 0.5000  2 B 2.21
18 Ir 0.7156 0.4305 0.5000  2 B 2.21
19 Ir 0.7844 0.9305 0.5000  2 B 2.21
20 Ir 0.9305 0.2156 0.5000  2 B 2.21

Properties
Raw total energy = -171.703 eV per cell
Density of states at the Fermi level = 7.28 states/eV per cell
Formation energy = -707 meV per atom



(6)
Material: AcTlRh3Pb
Method: DFT, PBE-GGA
State: relaxed

abc: 9.4886 9.4886 5.7627
angles: 90.00 90.00 144.59
With the nearest neighbours (Å) after each atom.
Atoms (fractional coordinates):
1 Ac 0.2410 0.7590 0.7500  4 Rh 2.89
2 Ac 0.7590 0.2410 0.2500  4 Rh 2.89
3 Tl 0.1066 0.8934 0.2500  5 Rh 2.69-2.76
4 Tl 0.8934 0.1066 0.7500  5 Rh 2.69-2.76
5 Rh 0.2359 0.2359 0.0000  2 Pb 2.72, 3 Rh 2.72-2.88, 2 Tl 2.76
6 Rh 0.2359 0.2359 0.5000  2 Pb 2.72, 3 Rh 2.72-2.88, 2 Tl 2.76
7 Rh 0.2555 0.7445 0.2500  1 Tl 2.69, 1 Pb 2.69, 4 Ac 2.89
8 Rh 0.7445 0.2555 0.7500  1 Tl 2.69, 1 Pb 2.69, 4 Ac 2.89
9 Rh 0.7641 0.7641 0.0000  2 Pb 2.72, 3 Rh 2.72-2.88, 2 Tl 2.76
10 Rh 0.7641 0.7641 0.5000  2 Pb 2.72, 3 Rh 2.72-2.88, 2 Tl 2.76
11 Pb 0.4044 0.5956 0.2500  5 Rh 2.69-2.72
12 Pb 0.5956 0.4044 0.7500  5 Rh 2.69-2.72

Properties
Raw total energy = -66.191 eV per cell
Density of states at the Fermi level = 7.21 states/eV per cell
Formation energy = -143 meV per atom



(7)
Material: PrDyZr2
Method: DFT, PBE-GGA
State: relaxed

abc: 4.7584 4.7584 4.8540
angles: 90.00 90.00 90.00
With the nearest neighbours (Å) after each atom.
Atoms (fractional coordinates):
1 Pr 0.0000 0.0000 0.0000  4 Dy 3.36, 8 Zr 3.40
2 Dy 0.5000 0.5000 0.0000  4 Pr 3.36, 8 Zr 3.40
3 Zr 0.0000 0.5000 0.5000  4 Zr 3.36, 4 Dy 3.40, 4 Pr 3.40
4 Zr 0.5000 0.0000 0.5000  4 Zr 3.36, 4 Dy 3.40, 4 Pr 3.40

Properties
Raw total energy = -25.778 eV per cell
Density of states at the Fermi level = 4.59 states/eV per cell
Formation energy = 175 meV per atom
ΔE to the lowest computed polymorph = 0.0 meV per atom



(8)
Material: CeTh2Nb
Method: DFT, PBE-GGA
State: relaxed

abc: 12.0009 12.0009 12.0009
angles: 15.74 15.74 15.74
With the nearest neighbours (Å) after each atom.
Atoms (fractional coordinates):
1 Ce 0.0000 0.0000 0.0000  6 Ce 3.29, 6 Th 3.57
2 Th 0.4183 0.4183 0.4183  1 Nb 2.90
3 Th 0.5817 0.5817 0.5817  1 Nb 2.90
4 Nb 0.5000 0.5000 0.5000  2 Th 2.90

Properties
Raw total energy = -28.717 eV per cell
Density of states at the Fermi level = 7.95 states/eV per cell
Formation energy = 531 meV per atom
ΔE to the lowest computed polymorph = 417.2 meV per atom



(9)
Material: LaGeN2
Method: DFT, PBE-GGA
State: relaxed

abc: 7.6075 7.6075 12.1492
angles: 111.69 111.69 58.03
With the nearest neighbours (Å) after each atom.
Atoms (fractional coordinates):
1 La 0.0219 0.7551 0.5565  3 N 2.37-2.44
2 La 0.2449 0.9781 0.9435  3 N 2.37-2.44
3 La 0.2539 0.4380 0.8521  3 N 2.41-2.54
4 La 0.4380 0.2539 0.3521  3 N 2.41-2.54
5 La 0.5620 0.7461 0.6479  3 N 2.41-2.54
6 La 0.7461 0.5620 0.1479  3 N 2.41-2.54
7 La 0.7551 0.0219 0.0565  3 N 2.37-2.44
8 La 0.9781 0.2449 0.4435  3 N 2.37-2.44
9 Ge 0.0531 0.7757 0.3190  3 N 1.91-1.97
10 Ge 0.2243 0.9469 0.1810  3 N 1.91-1.97
11 Ge 0.3203 0.4716 0.1256  4 N 1.87-1.95
12 Ge 0.4716 0.3203 0.6256  4 N 1.87-1.95
13 Ge 0.5284 0.6797 0.3744  4 N 1.87-1.95
14 Ge 0.6797 0.5284 0.8744  4 N 1.87-1.95
15 Ge 0.7757 0.0531 0.8190  3 N 1.91-1.97
16 Ge 0.9469 0.2243 0.6810  3 N 1.91-1.97
17 N 0.0146 0.9854 0.2500  2 Ge 1.91
18 N 0.1232 0.5117 0.2013  2 Ge 1.88-1.92
19 N 0.2310 0.3717 0.4981  1 Ge 1.87
20 N 0.2618 0.6867 0.0524  2 Ge 1.92-1.97
21 N 0.3133 0.7382 0.4476  2 Ge 1.92-1.97
22 N 0.3717 0.2310 0.9981  1 Ge 1.87
23 N 0.4168 0.5832 0.7500  2 Ge 1.95
24 N 0.4883 0.8768 0.2987  2 Ge 1.88-1.92
25 N 0.5117 0.1232 0.7013  2 Ge 1.88-1.92
26 N 0.5832 0.4168 0.2500  2 Ge 1.95
27 N 0.6283 0.7690 0.0019  1 Ge 1.87
28 N 0.6867 0.2618 0.5524  2 Ge 1.92-1.97
29 N 0.7382 0.3133 0.9476  2 Ge 1.92-1.97
30 N 0.7690 0.6283 0.5019  1 Ge 1.87
31 N 0.8768 0.4883 0.7987  2 Ge 1.88-1.92
32 N 0.9854 0.0146 0.7500  2 Ge 1.91

Properties
Raw total energy = -232.475 eV per cell
Energy relative to the elements, uncorrected = -69.1 kJ per mole of atoms



(10)
Material: Pr3In2Br2
Method: DFT, PBE-GGA
State: relaxed

abc: 6.0215 6.0215 9.4967
angles: 107.49 107.49 44.24
With the nearest neighbours (Å) after each atom.
Atoms (fractional coordinates):
1 Pr 0.0000 0.0000 0.0000  2 Br 3.21, 6 In 3.22-3.47
2 Pr 0.2135 0.2135 0.7043  4 Br 3.12-3.38, 3 In 3.20-3.36
3 Pr 0.7865 0.7865 0.2957  4 Br 3.12-3.38, 3 In 3.20-3.36
4 In 0.3265 0.3265 0.0779  2 In 2.93, 4 Pr 3.20-3.22
5 In 0.6735 0.6735 0.9221  2 In 2.93, 4 Pr 3.20-3.22
6 Br 0.1021 0.1021 0.3579  5 Pr 3.12-3.38
7 Br 0.8979 0.8979 0.6421  5 Pr 3.12-3.38

Properties
Raw total energy = -29.126 eV per cell
Density of states at the Fermi level = 4.84 states/eV per cell
Energy relative to the elements, uncorrected = -82.2 kJ per mole of atoms



(11)
Material: TbBiIr
Method: DFT, PBE-GGA
State: relaxed

abc: 5.5981 5.5981 5.5981
angles: 139.82 139.82 58.12
With the nearest neighbours (Å) after each atom.
Atoms (fractional coordinates):
1 Tb 0.0000 0.0000 0.0000  4 Ir 2.92, 1 Bi 3.05
2 Bi 0.6883 0.6883 0.0000  1 Ir 2.91, 1 Tb 3.05
3 Ir 0.3905 0.3905 0.0000  1 Bi 2.91, 4 Tb 2.92

Properties
Raw total energy = -18.104 eV per cell
Density of states at the Fermi level = 1.12 states/eV per cell
Formation energy = -244 meV per atom



(12)
Material: Y2PtO2
Method: DFT, PBE-GGA
State: relaxed

abc: 6.6994 6.6994 6.6994
angles: 147.06 147.06 47.28
With the nearest neighbours (Å) after each atom.
Atoms (fractional coordinates):
1 Y 0.1556 0.1556 0.0000  4 O 2.22
2 Y 0.8444 0.8444 0.0000  4 O 2.22
3 Pt 0.5000 0.5000 0.0000  8 Y 3.30, 8 O 3.61
4 O 0.2500 0.7500 0.5000  4 Y 2.22
5 O 0.7500 0.2500 0.5000  4 Y 2.22

Properties
Raw total energy = -41.643 eV per cell
Density of states at the Fermi level = 0.13 states/eV per cell
Energy relative to the elements, uncorrected = -246.2 kJ per mole of atoms